## Ag7Pt5 (PBEsol)

Data for Ag7Pt5 after structural relaxation.

## Properties
Symmetry: P2/m (10)
Size of the total moment (Bohr magnetons per cell): 0.0
Calculated formation energy (eV per formula unit): 0.01

a b c (Å): 4.882 5.596 6.908
angles (deg): 90.00 90.98 90.00
Fractional coordinates of all 12 atoms:
Ag 0.833 0.748 0.837
Ag 0.000 0.000 0.500
Ag 0.167 0.252 0.163
Ag 0.664 0.000 0.171
Ag 0.833 0.252 0.837
Ag 0.167 0.748 0.163
Ag 0.336 0.000 0.829
Pt 0.337 0.500 0.828
Pt 0.500 0.742 0.500
Pt 0.000 0.500 0.500
Pt 0.500 0.258 0.500
Pt 0.663 0.500 0.172


## Ag5Pt (PBEsol)

Data for Ag5Pt after structural relaxation.

## Properties
Symmetry: P4/mmm (123)
Size of the total moment (Bohr magnetons per cell): 0.0
Calculated formation energy (eV per formula unit): 0.06

a b c (Å): 2.824 2.824 12.179
angles (deg): 90.00 90.00 90.00
Fractional coordinates of all 6 atoms:
Pt 0.500 0.500 0.500
Ag 0.000 0.000 0.662
Ag 0.500 0.500 0.831
Ag 0.000 0.000 0.000
Ag 0.500 0.500 0.169
Ag 0.000 0.000 0.338


## Ag5Pt7 (PBEsol)

Data for Ag5Pt7 after structural relaxation.

## Properties
Symmetry: Pmm2 (25)
Size of the total moment (Bohr magnetons per cell): 0.0
Calculated formation energy (eV per formula unit): -0.05

a b c (Å): 2.766 8.013 8.378
angles (deg): 90.00 90.00 90.00
Fractional coordinates of all 12 atoms:
Pt 0.500 0.749 0.669
Pt 0.500 0.268 0.000
Pt 0.000 0.505 0.170
Pt 0.500 0.749 0.331
Pt 0.000 0.985 0.500
Pt 0.000 0.505 0.830
Pt 0.500 0.745 0.000
Ag 0.000 0.003 0.161
Ag 0.500 0.245 0.335
Ag 0.000 0.498 0.500
Ag 0.000 0.003 0.839
Ag 0.500 0.245 0.665